First-principles (PBE with a Hubbard U) data for MnAsN2F after structural relaxation, as listed in the Alexandria database.

a = 3.817 Å, b = 3.817 Å, c = 3.777 Å
α = 90.00°, β = 90.00°, γ = 90.00°
Space group P4/mmm (No. 123)
Asymmetric unit:
Mn  0.000  0.000  0.000 (multiplicity 1)
As  0.500  0.500  0.500 (multiplicity 1)
N  0.000  0.500  0.000 (multiplicity 2)
F  0.000  0.000  0.500 (multiplicity 1)

Properties
E above lowest polymorph = 553.9 meV/atom
Electronic total energy = -5.266 eV/atom